# 1
! KPt2W, optimized geometry, DFT PBE-GGA; values from VASP
&SYSTEM
  ibrav = 0, nat = 4, ntyp = 3
/
ATOMIC_SPECIES
K 39.10 K.upf
Pt 195.08 Pt.upf
W 183.84 W.upf
ATOMIC_POSITIONS crystal
K 0.0000 0.0000 0.0000
Pt 0.2500 0.2500 0.2500
Pt 0.7500 0.7500 0.7500
W 0.5000 0.5000 0.5000
CELL_PARAMETERS angstrom
0.0000 3.3206 3.3206
3.3206 0.0000 3.3206
3.3206 3.3206 0.0000
! E above lowest polymorph	3.26	eV/f.u.

---

# 2
! KPt2W, optimized geometry, DFT PBE-GGA; values from VASP
&SYSTEM
  ibrav = 0, nat = 4, ntyp = 3
/
ATOMIC_SPECIES
K 39.10 K.upf
Pt 195.08 Pt.upf
W 183.84 W.upf
ATOMIC_POSITIONS crystal
K 0.0000 0.0000 0.0000
Pt 0.5000 0.5000 0.3014
Pt 0.5000 0.5000 0.6986
W 0.0000 0.0000 0.5000
CELL_PARAMETERS angstrom
2.9076 0.0000 0.0000
0.0000 2.9076 0.0000
0.0000 0.0000 9.0341
! E above lowest polymorph	0.00	eV/f.u.

---

# 3
! KPt2W, optimized geometry, DFT PBE-GGA; values from VASP
&SYSTEM
  ibrav = 0, nat = 4, ntyp = 3
/
ATOMIC_SPECIES
K 39.10 K.upf
Pt 195.08 Pt.upf
W 183.84 W.upf
ATOMIC_POSITIONS crystal
K 0.0000 0.0000 0.0000
Pt 0.2449 0.2449 0.6860
Pt 0.7551 0.7551 0.3140
W 0.5000 0.5000 0.5000
CELL_PARAMETERS angstrom
3.7360 -1.3965 0.0000
3.7360 1.3965 0.0000
-0.4456 0.0000 8.2290
! E above lowest polymorph	0.68	eV/f.u.

---

# 4
! KPtW, optimized geometry, DFT PBE-GGA; values from VASP
&SYSTEM
  ibrav = 0, nat = 3, ntyp = 3
/
ATOMIC_SPECIES
K 39.10 K.upf
Pt 195.08 Pt.upf
W 183.84 W.upf
ATOMIC_POSITIONS crystal
K 0.0000 0.0000 0.0000
Pt 0.6667 0.3333 0.3501
W 0.3333 0.6667 0.6105
CELL_PARAMETERS angstrom
2.9046 0.0000 0.0000
-1.4523 2.5155 0.0000
0.0000 0.0000 8.1883
! E above lowest polymorph	0.53	eV/f.u.

---

# 5
! KPtW, optimized geometry, DFT PBE-GGA; values from VASP
&SYSTEM
  ibrav = 0, nat = 3, ntyp = 3
/
ATOMIC_SPECIES
K 39.10 K.upf
Pt 195.08 Pt.upf
W 183.84 W.upf
ATOMIC_POSITIONS crystal
K 0.0000 0.0000 0.0000
Pt 0.7124 0.7124 0.0000
W 0.2741 0.2741 0.0000
CELL_PARAMETERS angstrom
-1.3689 2.1187 6.2573
1.3689 -2.1187 6.2573
1.3689 2.1187 -6.2573
! E above lowest polymorph	0.00	eV/f.u.

---

# 6
Compound: KY2PtW
Source: Alexandria via LeMat-Bulk
Functional: PBE-GGA
Structure: optimized geometry Values from VASP.

The structure in Quantum ESPRESSO input format:
```
&SYSTEM
  ibrav = 0, nat = 5, ntyp = 4
/
ATOMIC_SPECIES
K 39.10 K.upf
Y 88.91 Y.upf
Pt 195.08 Pt.upf
W 183.84 W.upf
ATOMIC_POSITIONS crystal
K 0.0000 0.0000 0.0000
Y 0.0000 0.5000 0.5000
Y 0.5000 0.0000 0.5000
Pt 0.0000 0.0000 0.5000
W 0.5000 0.5000 0.0000
CELL_PARAMETERS angstrom
5.3986 0.0000 0.0000
0.0000 5.3986 0.0000
0.0000 0.0000 5.7054
```

---

# 7
Compound: KYPt2
Source: Alexandria via LeMat-Bulk
Functional: PBE-GGA
Structure: optimized geometry Values from VASP.

The structure in Quantum ESPRESSO input format:
```
&SYSTEM
  ibrav = 0, nat = 8, ntyp = 3
/
ATOMIC_SPECIES
K 39.10 K.upf
Y 88.91 Y.upf
Pt 195.08 Pt.upf
ATOMIC_POSITIONS crystal
K 0.0000 0.0000 0.0000
K 0.7500 0.2500 0.5000
Y 0.2500 0.7500 0.5000
Y 0.5000 0.5000 0.0000
Pt 0.1491 0.6250 0.0241
Pt 0.3750 0.3991 0.5241
Pt 0.6009 0.1250 0.9759
Pt 0.8750 0.8509 0.4759
CELL_PARAMETERS angstrom
-3.9510 3.9510 3.0408
3.9510 -3.9510 3.0408
3.9510 3.9510 -3.0408
```

---

# 8
! KY2Pt, optimized geometry, DFT PBE-GGA; values from VASP
&SYSTEM
  ibrav = 0, nat = 4, ntyp = 3
/
ATOMIC_SPECIES
K 39.10 K.upf
Y 88.91 Y.upf
Pt 195.08 Pt.upf
ATOMIC_POSITIONS crystal
K 0.0000 0.0000 0.0000
Y 0.5000 0.5000 0.0000
Y 0.7500 0.2500 0.5000
Pt 0.2500 0.7500 0.5000
CELL_PARAMETERS angstrom
-2.1812 2.1812 5.5249
2.1812 -2.1812 5.5249
2.1812 2.1812 -5.5249
! E above lowest polymorph	2.39	eV/f.u.

---

# 9
! KY2Pt, optimized geometry, DFT PBE-GGA; values from VASP
&SYSTEM
  ibrav = 0, nat = 4, ntyp = 3
/
ATOMIC_SPECIES
K 39.10 K.upf
Y 88.91 Y.upf
Pt 195.08 Pt.upf
ATOMIC_POSITIONS crystal
K 0.0000 0.0000 0.0000
Y 0.3320 0.3320 0.0000
Y 0.6814 0.1814 0.5000
Pt 0.2320 0.7320 0.5000
CELL_PARAMETERS angstrom
-1.8653 1.9410 10.3146
1.8653 -1.9410 10.3146
1.8653 1.9410 -10.3146
! E above lowest polymorph	0.52	eV/f.u.

---

# 10
! KY2Pt, optimized geometry, DFT PBE-GGA; values from VASP
&SYSTEM
  ibrav = 0, nat = 4, ntyp = 3
/
ATOMIC_SPECIES
K 39.10 K.upf
Y 88.91 Y.upf
Pt 195.08 Pt.upf
ATOMIC_POSITIONS crystal
K 0.0000 0.0000 0.0000
Y 0.2500 0.2500 0.2500
Y 0.7500 0.7500 0.7500
Pt 0.5000 0.5000 0.5000
CELL_PARAMETERS angstrom
0.0000 3.6944 3.6944
3.6944 0.0000 3.6944
3.6944 3.6944 0.0000
! E above lowest polymorph	1.64	eV/f.u.

---

# 11
! K2YPt, optimized geometry, DFT PBE-GGA; values from VASP
&SYSTEM
  ibrav = 0, nat = 4, ntyp = 3
/
ATOMIC_SPECIES
K 39.10 K.upf
Y 88.91 Y.upf
Pt 195.08 Pt.upf
ATOMIC_POSITIONS crystal
K 0.0000 0.0000 0.0000
K 0.6718 0.1718 0.5000
Y 0.3448 0.3448 0.0000
Pt 0.2093 0.7093 0.5000
CELL_PARAMETERS angstrom
-1.9333 3.1908 6.6361
1.9333 -3.1908 6.6361
1.9333 3.1908 -6.6361
! E above lowest polymorph	0.97	eV/f.u.

---

# 12
! K2YPt, optimized geometry, DFT PBE-GGA; values from VASP
&SYSTEM
  ibrav = 0, nat = 4, ntyp = 3
/
ATOMIC_SPECIES
K 39.10 K.upf
Y 88.91 Y.upf
Pt 195.08 Pt.upf
ATOMIC_POSITIONS crystal
K 0.0000 0.0000 0.0000
K 0.1964 0.1964 0.6333
Y 0.4256 0.4256 0.3117
Pt 0.7248 0.7248 0.1972
CELL_PARAMETERS angstrom
3.6598 -2.0971 0.0000
3.6598 2.0971 0.0000
-2.1210 0.0000 11.2017
! E above lowest polymorph	0.23	eV/f.u.

---

One value per record, in order, for DOS(E_F): 1.13; 0.82; 0.81; 1.26; 0.83; 0.60; 0.18; 0.87; 1.13; 0.81; 0.61; 0.66 states/eV/atom.
One value per record, in order, for magnetization: 0.0; 0.0; 0.0; 0.0; 0.0; 4.2; 0.0; 0.0; 0.0; 0.0; 0.0; 0.0 μB per cell.
One value per record, in order, for formation energy from the elements: 829; 14; 184; 716; 539; 945; -251; 110; -358; -79; -78; -263 meV per atom.